RbCo2P2 | meta-GGA SCAN | PBEsol geometry

Output
Calculated formation energy   -0.561 eV/atom
DOS at the Fermi energy   1.422 states/eV/f.u.

Cell lengths 3.629, 3.629, 13.620 Å; angles 90.00, 90.00, 90.00 degrees
Fractional positions:
Rb1 0.000 0.000 0.000
Rb2 0.500 0.500 0.500
Co1 0.000 0.500 0.250
Co2 0.000 0.500 0.750
Co3 0.500 0.000 0.250
Co4 0.500 0.000 0.750
P1 0.000 0.000 0.338
P2 0.000 0.000 0.662
P3 0.500 0.500 0.162
P4 0.500 0.500 0.838